# Rb2ErAgCl6

A geometry-optimized Rb2ErAgCl6 structure (PBEsol, the Alexandria database).

Calculated values
As for the raw total energy: -40.3 eV per formula unit. For the formation energy (no corrections), the calculation gives -1.798 eV/atom.

extended XYZ file:
```
10
Lattice="0.0000 5.2255 5.2255 5.2255 0.0000 5.2255 5.2255 5.2255 0.0000" Properties=species:S:1:pos:R:3 pbc="T T T"
Rb 2.6127 2.6127 2.6127
Rb 7.8382 7.8382 7.8382
Er 0.0000 0.0000 0.0000
Ag 5.2255 5.2255 5.2255
Cl 5.2255 5.2255 2.5714
Cl 5.2255 2.5714 5.2255
Cl 7.8796 5.2255 5.2255
Cl 2.5714 5.2255 5.2255
Cl 5.2255 7.8796 5.2255
Cl 5.2255 5.2255 7.8796
```

# Rb2EuAgCl6

A geometry-optimized Rb2EuAgCl6 structure (PBEsol, the Alexandria database).

Calculated values
As for the raw total energy: -44.6 eV per formula unit. For the formation energy (no corrections), the calculation gives -1.665 eV/atom.

extended XYZ file:
```
10
Lattice="0.0000 5.2749 5.2749 5.2749 0.0000 5.2749 5.2749 5.2749 0.0000" Properties=species:S:1:pos:R:3 pbc="T T T"
Rb 2.6375 2.6375 2.6375
Rb 7.9124 7.9124 7.9124
Eu 0.0000 0.0000 0.0000
Ag 5.2749 5.2749 5.2749
Cl 5.2749 5.2749 2.6742
Cl 5.2749 2.6742 5.2749
Cl 7.8757 5.2749 5.2749
Cl 2.6742 5.2749 5.2749
Cl 5.2749 7.8757 5.2749
Cl 5.2749 5.2749 7.8757
```

# AgCl2F

A geometry-optimized AgCl2F structure (PBEsol, the Alexandria database).

Calculated values
As for the raw total energy: -9.3 eV per formula unit. For the formation energy (no corrections), the calculation gives -0.012 eV/atom.

extended XYZ file:
```
16
Lattice="4.9407 0.0000 0.0000 0.0000 4.9407 0.0000 0.0000 0.0000 14.0363" Properties=species:S:1:pos:R:3 pbc="T T T"
Ag 0.0000 0.0000 0.0000
Ag 0.0000 2.4703 3.5091
Ag 2.4703 0.0000 10.5273
Ag 2.4703 2.4703 7.0182
Cl 1.2180 1.2352 1.7545
Cl 1.2352 3.6883 5.2636
Cl 1.2352 3.7227 12.2818
Cl 1.2524 1.2352 8.7727
Cl 3.6883 3.7055 8.7727
Cl 3.7055 1.2180 12.2818
Cl 3.7055 1.2524 5.2636
Cl 3.7227 3.7055 1.7545
F 0.0000 0.0000 7.0182
F 0.0000 2.4703 10.5273
F 2.4703 0.0000 3.5091
F 2.4703 2.4703 0.0000
```

# AgCl2F2

A geometry-optimized AgCl2F2 structure (PBEsol, the Alexandria database).

Calculated values
As for the raw total energy: -14.2 eV per formula unit. For the formation energy (no corrections), the calculation gives -0.605 eV/atom.

extended XYZ file:
```
10
Lattice="5.6855 0.0000 0.0000 0.0000 5.6855 0.0000 0.0000 0.0000 5.9823" Properties=species:S:1:pos:R:3 pbc="T T T"
Ag 0.0000 0.0000 0.0000
Ag 2.8428 2.8428 0.0000
Cl 0.7039 2.1388 2.9912
Cl 2.1388 4.9816 2.9912
Cl 3.5467 0.7039 2.9912
Cl 4.9816 3.5467 2.9912
F 1.1350 3.9778 0.0000
F 1.7078 1.1350 0.0000
F 3.9778 4.5505 0.0000
F 4.5505 1.7078 0.0000
```

# Ag6Mo2ClO7F3

A geometry-optimized Ag6Mo2ClO7F3 structure (PBEsol, the Alexandria database).

Calculated values
As for the raw total energy: -110.5 eV per formula unit. For the formation energy (no corrections), the calculation gives -1.190 eV/atom.

extended XYZ file:
```
19
Lattice="7.3862 0.0000 0.0000 -3.6931 6.3967 0.0000 0.0000 0.0000 5.7847" Properties=species:S:1:pos:R:3 pbc="T T T"
Ag 0.0000 2.1503 0.0000
Ag -1.8309 5.3215 0.0000
Ag 1.6158 0.9329 3.3067
Ag 1.8309 5.3215 0.0000
Ag 5.7705 0.9329 3.3067
Ag 3.6931 4.5309 3.3067
Mo 0.0000 4.2644 2.7782
Mo 3.6931 2.1322 0.4518
Cl 0.0000 0.0000 1.4118
O 0.0000 2.6409 3.4932
O -1.4060 5.0762 3.4932
O 0.0000 4.2644 0.9598
O 2.3189 1.3388 5.4427
O 1.4060 5.0762 3.4932
O 5.0673 1.3388 5.4427
O 3.6931 3.7190 5.4427
F 3.6931 0.6345 1.8957
F 2.3961 2.8811 1.8957
F 4.9901 2.8811 1.8957
```

# AgCl2OF

A geometry-optimized AgCl2OF structure (PBEsol, the Alexandria database).

Calculated values
As for the raw total energy: -13.2 eV per formula unit. For the formation energy (no corrections), the calculation gives 0.267 eV/atom.

extended XYZ file:
```
5
Lattice="4.8505 0.0000 0.0000 0.0000 4.8505 0.0000 0.0000 0.0000 4.0768" Properties=species:S:1:pos:R:3 pbc="T T T"
Ag 0.0000 0.0000 0.0000
Cl 0.0000 2.4252 0.0000
Cl 2.4252 0.0000 0.0000
O 2.4252 2.4252 2.0384
F 0.0000 0.0000 2.0384
```

# FeAgCl2

A geometry-optimized FeAgCl2 structure (PBEsol, the Alexandria database).

Calculated values
As for the raw total energy: -15.7 eV per formula unit. For the formation energy (no corrections), the calculation gives 0.143 eV/atom. The distance to the lowest polymorph of the same formula is 274 meV/atom.

extended XYZ file:
```
16
Lattice="6.4203 0.0000 0.0000 0.0000 6.4203 0.0000 0.0000 0.0000 6.4203" Properties=species:S:1:pos:R:3 pbc="T T T"
Fe 0.0000 0.0000 0.0000
Fe 0.0000 3.2101 3.2101
Fe 3.2101 0.0000 3.2101
Fe 3.2101 3.2101 0.0000
Ag 0.0000 0.0000 3.2101
Ag 0.0000 3.2101 0.0000
Ag 3.2101 0.0000 0.0000
Ag 3.2101 3.2101 3.2101
Cl 1.6051 1.6051 1.6051
Cl 1.6051 1.6051 4.8152
Cl 1.6051 4.8152 1.6051
Cl 1.6051 4.8152 4.8152
Cl 4.8152 1.6051 1.6051
Cl 4.8152 1.6051 4.8152
Cl 4.8152 4.8152 1.6051
Cl 4.8152 4.8152 4.8152
```

# FeAgCl2

A geometry-optimized FeAgCl2 structure (PBEsol, the Alexandria database).

Calculated values
As for the raw total energy: -16.8 eV per formula unit. For the formation energy (no corrections), the calculation gives -0.131 eV/atom. The distance to the lowest polymorph of the same formula is 0 meV/atom.

extended XYZ file:
```
8
Lattice="3.2067 0.0000 0.0000 0.0000 4.4664 0.0000 0.0000 0.0000 11.6333" Properties=species:S:1:pos:R:3 pbc="T T T"
Fe 0.0000 0.0000 0.0000
Fe 1.6033 2.2332 5.8167
Ag 0.0000 0.0000 5.8167
Ag 1.6033 2.2332 0.0000
Cl 0.0000 2.2332 4.1081
Cl 0.0000 2.2332 7.5252
Cl 1.6033 0.0000 1.7085
Cl 1.6033 0.0000 9.9248
```

# FeAgCl2

A geometry-optimized FeAgCl2 structure (PBEsol, the Alexandria database).

Calculated values
As for the raw total energy: -15.7 eV per formula unit. For the formation energy (no corrections), the calculation gives 0.154 eV/atom. The distance to the lowest polymorph of the same formula is 284 meV/atom.

extended XYZ file:
```
4
Lattice="4.5755 0.0000 0.0000 0.0000 4.5755 0.0000 0.0000 0.0000 3.2073" Properties=species:S:1:pos:R:3 pbc="T T T"
Fe 0.0000 0.0000 0.0000
Ag 2.2878 2.2878 0.0000
Cl 0.0000 2.2878 1.6036
Cl 2.2878 0.0000 1.6036
```

# FeAgCl2

A geometry-optimized FeAgCl2 structure (PBEsol, the Alexandria database).

Calculated values
As for the raw total energy: -14.3 eV per formula unit. For the formation energy (no corrections), the calculation gives 0.496 eV/atom. The distance to the lowest polymorph of the same formula is 626 meV/atom.

extended XYZ file:
```
16
Lattice="6.5243 0.0000 0.0000 0.0000 6.5243 0.0000 0.0000 0.0000 6.5243" Properties=species:S:1:pos:R:3 pbc="T T T"
Fe 0.0000 0.0000 0.0000
Fe 0.0000 3.2621 3.2621
Fe 3.2621 0.0000 3.2621
Fe 3.2621 3.2621 0.0000
Ag 1.6311 1.6311 1.6311
Ag 1.6311 4.8932 4.8932
Ag 4.8932 1.6311 4.8932
Ag 4.8932 4.8932 1.6311
Cl 0.0000 0.0000 3.2621
Cl 0.0000 3.2621 0.0000
Cl 1.6311 1.6311 4.8932
Cl 1.6311 4.8932 1.6311
Cl 3.2621 0.0000 0.0000
Cl 3.2621 3.2621 3.2621
Cl 4.8932 1.6311 1.6311
Cl 4.8932 4.8932 4.8932
```

# FeAg2Cl

A geometry-optimized FeAg2Cl structure (PBEsol, the Alexandria database).

Calculated values
As for the raw total energy: -15.4 eV per formula unit. For the formation energy (no corrections), the calculation gives 0.544 eV/atom.

extended XYZ file:
```
8
Lattice="3.9935 0.0000 0.0000 0.0000 3.9935 0.0000 0.0000 0.0000 8.2400" Properties=species:S:1:pos:R:3 pbc="T T T"
Fe 0.0000 0.0000 0.0000
Fe 1.9968 1.9968 4.1200
Ag 0.0000 0.0000 4.1200
Ag 0.0000 1.9968 2.0600
Ag 1.9968 0.0000 6.1800
Ag 1.9968 1.9968 0.0000
Cl 0.0000 1.9968 6.1800
Cl 1.9968 0.0000 2.0600
```

# Ga2FeAgCl

A geometry-optimized Ga2FeAgCl structure (PBEsol, the Alexandria database).

Calculated values
As for the raw total energy: -16.5 eV per formula unit. For the formation energy (no corrections), the calculation gives 0.891 eV/atom.

extended XYZ file:
```
5
Lattice="4.8908 0.0000 0.0000 0.0000 4.8908 0.0000 0.0000 0.0000 4.9910" Properties=species:S:1:pos:R:3 pbc="T T T"
Ga 0.0000 2.4454 0.0000
Ga 2.4454 0.0000 0.0000
Fe 0.0000 0.0000 2.4955
Ag 2.4454 2.4454 0.0000
Cl 2.4454 2.4454 2.4955
```